# GGA-PBE Y3Ho2ScBi6, relaxed
data_Y3Ho2ScBi6
_cell_length_a 19.352
_cell_length_b 4.441
_cell_length_c 8.885
_cell_angle_alpha 90.00
_cell_angle_beta 103.21
_cell_angle_gamma 90.00
_symmetry_space_group_name_H-M 'C 1 2/m 1'
_symmetry_Int_Tables_number 12
loop_
_symmetry_equiv_pos_as_xyz
'x,y,z'
'-x,-y,-z'
'-x,y,-z'
'x,-y,z'
'x+1/2,y+1/2,z'
'-x+1/2,-y+1/2,-z'
'-x+1/2,y+1/2,-z'
'x+1/2,-y+1/2,z'
loop_
_atom_site_label
_atom_site_fract_x
_atom_site_fract_y
_atom_site_fract_z
_atom_site_occupancy
Y1 0.000 0.000 0.000 1
Y2 0.168 0.500 0.334 1
Ho1 0.166 0.500 0.832 1
Sc1 0.000 0.000 0.500 1
Bi1 0.001 0.500 0.261 1
Bi2 0.162 0.000 0.582 1
Bi3 0.167 0.000 0.082 1
# energy relative to the elements	-0.83	eV per atom



# GGA-PBE TmZr5Ru6, relaxed
data_TmZr5Ru6
_cell_length_a 4.646
_cell_length_b 13.975
_cell_length_c 6.577
_cell_angle_alpha 90.00
_cell_angle_beta 90.00
_cell_angle_gamma 90.00
_symmetry_space_group_name_H-M 'C m m m'
_symmetry_Int_Tables_number 65
_symmetry_space_group_name_Hall '-C 2 2'
loop_
_atom_site_label
_atom_site_fract_x
_atom_site_fract_y
_atom_site_fract_z
_atom_site_occupancy
Tm1 0.000 0.000 0.000 1
Zr1 0.000 0.000 0.500 1
Zr2 0.000 0.333 0.000 1
Zr3 0.000 0.333 0.500 1
Ru1 0.000 0.169 0.252 1
Ru2 0.000 0.500 0.256 1
# energy relative to the elements	-0.63	eV per atom



# GGA-PBE VRe2TeN, relaxed
data_VRe2TeN
_cell_length_a 4.152
_cell_length_b 4.152
_cell_length_c 4.107
_cell_angle_alpha 90.00
_cell_angle_beta 90.00
_cell_angle_gamma 90.00
_symmetry_space_group_name_H-M 'P 4/m m m'
_symmetry_Int_Tables_number 123
_symmetry_space_group_name_Hall '-P 4 2'
loop_
_atom_site_label
_atom_site_fract_x
_atom_site_fract_y
_atom_site_fract_z
_atom_site_occupancy
V1 0.000 0.000 0.000 1
Re1 0.000 0.500 0.500 1
Te1 0.500 0.500 0.000 1
N1 0.000 0.000 0.500 1
# raw formation energy	2.1	eV/f.u.



# GGA-PBE LaCePr2As4, relaxed
data_LaCePr2As4
_cell_length_a 7.450
_cell_length_b 4.302
_cell_length_c 7.456
_cell_angle_alpha 90.00
_cell_angle_beta 109.44
_cell_angle_gamma 90.00
_symmetry_space_group_name_H-M 'P 1 2/m 1'
_symmetry_Int_Tables_number 10
loop_
_symmetry_equiv_pos_as_xyz
'x,y,z'
'-x,-y,-z'
'-x,y,-z'
'x,-y,z'
loop_
_atom_site_label
_atom_site_fract_x
_atom_site_fract_y
_atom_site_fract_z
_atom_site_occupancy
La1 0.000 0.000 0.000 1
Ce1 0.000 0.500 0.500 1
Pr1 0.500 0.000 0.500 1
Pr2 0.500 0.500 0.000 1
As1 0.245 0.000 0.744 1
As2 0.248 0.500 0.255 1
# energy relative to the elements	-1.50	eV per atom



# GGA-PBE AlSiRu2, relaxed
data_AlSiRu2
_cell_length_a 6.058
_cell_length_b 6.058
_cell_length_c 6.058
_cell_angle_alpha 90.00
_cell_angle_beta 90.00
_cell_angle_gamma 90.00
_symmetry_space_group_name_H-M 'F -4 3 m'
_symmetry_Int_Tables_number 216
_symmetry_space_group_name_Hall 'F -4 2 3'
loop_
_atom_site_label
_atom_site_fract_x
_atom_site_fract_y
_atom_site_fract_z
_atom_site_occupancy
Al1 0.000 0.000 0.000 1
Si1 0.250 0.250 0.750 1
Ru1 0.000 0.000 0.500 1
Ru2 0.250 0.250 0.250 1
# raw formation energy	0.0	eV/f.u.



# GGA-PBE Sc4Ru3Pb, relaxed
data_Sc4Ru3Pb
_cell_length_a 4.6565
_cell_length_b 4.6565
_cell_length_c 23.2373
_cell_angle_alpha 90.00
_cell_angle_beta 90.00
_cell_angle_gamma 120.00
_symmetry_space_group_name_H-M 'R -3 m'
_symmetry_Int_Tables_number 166
_symmetry_space_group_name_Hall '-R 3 2"'
loop_
_atom_site_label
_atom_site_fract_x
_atom_site_fract_y
_atom_site_fract_z
_atom_site_occupancy
Sc1 0.0000 0.0000 0.1143 1
Sc2 0.0000 0.0000 0.3689 1
Ru1 0.0000 0.0000 0.0000 1
Ru2 0.0000 0.0000 0.2507 1
Pb1 0.0000 0.0000 0.5000 1
# energy relative to the elements	-0.50	eV per atom



# GGA-PBE Pu2Np3N4, relaxed
data_Pu2Np3N4
_cell_length_a 11.452
_cell_length_b 3.373
_cell_length_c 8.393
_cell_angle_alpha 90.00
_cell_angle_beta 119.31
_cell_angle_gamma 90.00
_symmetry_space_group_name_H-M 'C 1 2/m 1'
_symmetry_Int_Tables_number 12
loop_
_symmetry_equiv_pos_as_xyz
'x,y,z'
'-x,-y,-z'
'-x,y,-z'
'x,-y,z'
'x+1/2,y+1/2,z'
'-x+1/2,-y+1/2,-z'
'-x+1/2,y+1/2,-z'
'x+1/2,-y+1/2,z'
loop_
_atom_site_label
_atom_site_fract_x
_atom_site_fract_y
_atom_site_fract_z
_atom_site_occupancy
Pu1 0.099 0.000 0.402 1
Np1 0.000 0.500 0.000 1
Np2 0.201 0.500 0.800 1
N1 0.110 0.000 0.912 1
N2 0.196 0.500 0.300 1
# raw formation energy	-8.1	eV/f.u.



# GGA-PBE LiSb2TeAs, relaxed
data_LiSb2TeAs
_cell_length_a 5.368
_cell_length_b 5.368
_cell_length_c 5.674
_cell_angle_alpha 90.00
_cell_angle_beta 90.00
_cell_angle_gamma 90.00
_symmetry_space_group_name_H-M 'P 4/m m m'
_symmetry_Int_Tables_number 123
_symmetry_space_group_name_Hall '-P 4 2'
loop_
_atom_site_label
_atom_site_fract_x
_atom_site_fract_y
_atom_site_fract_z
_atom_site_occupancy
Li1 0.000 0.000 0.000 1
Sb1 0.000 0.500 0.500 1
Te1 0.500 0.500 0.000 1
As1 0.500 0.500 0.500 1
# raw formation energy	1.9	eV/f.u.